No. 1
A geometry-optimized MgScRe2 structure, computed with PBE-GGA.

```
data_MgScRe2
_symmetry_space_group_name_H-M 'P 1'
_symmetry_Int_Tables_number 1
_cell_length_a 2.745
_cell_length_b 2.745
_cell_length_c 9.230
_cell_angle_alpha 90.00
_cell_angle_beta 90.00
_cell_angle_gamma 108.09
loop_
_symmetry_equiv_pos_as_xyz
'x,y,z'
loop_
_atom_site_label
_atom_site_fract_x
_atom_site_fract_y
_atom_site_fract_z
Mg1 0.500 0.500 0.750
Re1 0.000 0.000 0.999
Re2 0.000 0.000 0.501
Sc1 0.500 0.500 0.250
```

Density of states at the Fermi level = 2.91 states/eV/f.u.
Energy of formation from the pure elements = 178 meV per atom
Space group = Cmmm
Electronic total energy = -8.0276 eV/atom
Theoretical density = 11.09 g/cm3

---

No. 2
A geometry-optimized Mg2ScRe structure, computed with PBE-GGA.

```
data_Mg2ScRe
_symmetry_space_group_name_H-M 'P 1'
_symmetry_Int_Tables_number 1
_cell_length_a 2.917
_cell_length_b 2.917
_cell_length_c 9.555
_cell_angle_alpha 90.00
_cell_angle_beta 90.00
_cell_angle_gamma 108.49
loop_
_symmetry_equiv_pos_as_xyz
'x,y,z'
loop_
_atom_site_label
_atom_site_fract_x
_atom_site_fract_y
_atom_site_fract_z
Mg1 0.000 0.000 0.002
Mg2 0.500 0.500 0.274
Re1 0.000 0.000 0.503
Sc1 0.500 0.500 0.721
```

Polymorph energy (0 for the lowest one) = 0 meV/atom
Density of states at the Fermi level = 3.98 states/eV/f.u.
Energy of formation from the pure elements = 137 meV per atom
Space group = Cmm2
Electronic total energy = -5.3548 eV/atom
Theoretical density = 6.03 g/cm3

---

No. 3
A geometry-optimized MgScRe structure, computed with PBE-GGA.

```
data_MgScRe
_symmetry_space_group_name_H-M 'P 1'
_symmetry_Int_Tables_number 1
_cell_length_a 4.724
_cell_length_b 4.724
_cell_length_c 2.764
_cell_angle_alpha 90.00
_cell_angle_beta 90.00
_cell_angle_gamma 120.00
loop_
_symmetry_equiv_pos_as_xyz
'x,y,z'
loop_
_atom_site_label
_atom_site_fract_x
_atom_site_fract_y
_atom_site_fract_z
Mg1 0.000 0.000 0.030
Re1 0.667 0.333 0.299
Sc1 0.333 0.667 0.671
```

Polymorph energy (0 for the lowest one) = 0 meV/atom
Density of states at the Fermi level = 2.34 states/eV/f.u.
Energy of formation from the pure elements = 142 meV per atom
Space group = P3m1
Electronic total energy = -6.6491 eV/atom
Theoretical density = 7.94 g/cm3

---

No. 4
A geometry-optimized MgScRe2 structure, computed with PBE-GGA.

```
data_MgScRe2
_symmetry_space_group_name_H-M 'P 1'
_symmetry_Int_Tables_number 1
_cell_length_a 3.425
_cell_length_b 3.425
_cell_length_c 5.908
_cell_angle_alpha 90.00
_cell_angle_beta 90.00
_cell_angle_gamma 90.00
loop_
_symmetry_equiv_pos_as_xyz
'x,y,z'
loop_
_atom_site_label
_atom_site_fract_x
_atom_site_fract_y
_atom_site_fract_z
Mg1 0.500 0.500 0.750
Re1 0.000 0.000 0.955
Re2 0.000 0.000 0.545
Sc1 0.500 0.500 0.250
```

Density of states at the Fermi level = 3.08 states/eV/f.u.
Energy of formation from the pure elements = 355 meV per atom
Space group = P4/mmm
Electronic total energy = -7.8504 eV/atom
Theoretical density = 10.58 g/cm3

---

No. 5
A geometry-optimized Mg2ScRe structure, computed with PBE-GGA.

```
data_Mg2ScRe
_symmetry_space_group_name_H-M 'P 1'
_symmetry_Int_Tables_number 1
_cell_length_a 3.966
_cell_length_b 3.966
_cell_length_c 10.607
_cell_angle_alpha 79.22
_cell_angle_beta 79.22
_cell_angle_gamma 90.00
loop_
_symmetry_equiv_pos_as_xyz
'x,y,z'
loop_
_atom_site_label
_atom_site_fract_x
_atom_site_fract_y
_atom_site_fract_z
Sc1 0.500 0.500 0.000
Sc2 0.250 0.750 0.500
Re1 0.000 0.000 0.000
Re2 0.750 0.250 0.500
Mg1 0.647 0.125 0.250
Mg2 0.103 0.625 0.250
Mg3 0.375 0.353 0.750
Mg4 0.875 0.897 0.750
```

Polymorph energy (0 for the lowest one) = 451 meV/atom
Density of states at the Fermi level = 2.74 states/eV/f.u.
Energy of formation from the pure elements = 588 meV per atom
Space group = I-42d
Electronic total energy = -4.9039 eV/atom
Theoretical density = 5.77 g/cm3

---

No. 6
A geometry-optimized MgScRe2 structure, computed with PBE-GGA.

```
data_MgScRe2
_symmetry_space_group_name_H-M 'P 1'
_symmetry_Int_Tables_number 1
_cell_length_a 4.612
_cell_length_b 2.754
_cell_length_c 5.318
_cell_angle_alpha 78.91
_cell_angle_beta 90.00
_cell_angle_gamma 90.00
loop_
_symmetry_equiv_pos_as_xyz
'x,y,z'
loop_
_atom_site_label
_atom_site_fract_x
_atom_site_fract_y
_atom_site_fract_z
Mg1 0.500 0.750 0.750
Re1 0.000 0.990 0.004
Re2 0.000 0.510 0.496
Sc1 0.500 0.250 0.250
```

Density of states at the Fermi level = 3.07 states/eV/f.u.
Energy of formation from the pure elements = 187 meV per atom
Space group = P2/m
Electronic total energy = -8.0189 eV/atom
Theoretical density = 11.06 g/cm3